Arrangement a

# MgTeH12O9 (PBE, optimized geometry)
# - ρ (g/cm3) = 1.75
# - V (Å³ per cell) = 292.8
data_MgTeH12O9
_chemical_formula_sum 'Mg1 Te1 H12 O9'
_symmetry_space_group_name_H-M 'P 1'
_symmetry_Int_Tables_number 1
_cell_length_a 5.5407
_cell_length_b 7.8285
_cell_length_c 8.1197
_cell_angle_alpha 100.18
_cell_angle_beta 109.84
_cell_angle_gamma 110.32
loop_
_symmetry_equiv_pos_as_xyz
'x,y,z'
loop_
_atom_site_label
_atom_site_type_symbol
_atom_site_fract_x
_atom_site_fract_y
_atom_site_fract_z
Mg1 Mg 0.0000 0.0000 0.0000
Te1 Te 0.5323 0.4803 0.2801
H1 H 0.0362 0.9475 0.6920
H2 H 0.1614 0.7367 0.1214
H3 H 0.1697 0.4935 0.5314
H4 H 0.2617 0.5359 0.9949
H5 H 0.2847 0.2141 0.8420
H6 H 0.3974 0.4812 0.7059
H7 H 0.4364 0.9566 0.8451
H8 H 0.4869 0.7741 0.7574
H9 H 0.6263 0.0251 0.5448
H10 H 0.6718 0.0874 0.4900
H11 H 0.8386 0.6681 0.0710
H12 H 0.8645 0.3082 0.2649
O1 O 0.0095 0.7865 0.0988
O2 O 0.1727 0.0141 0.8218
O3 O 0.2048 0.2503 0.1949
O4 O 0.3307 0.6148 0.1250
O5 O 0.3754 0.3692 0.8782
O6 O 0.3780 0.5581 0.6217
O7 O 0.5868 0.9094 0.8509
O8 O 0.6230 0.4231 0.0530
O9 O 0.8376 0.3770 0.3657

=====

Arrangement b

# MgTeH12O9 (PBE, optimized geometry)
# - ρ (g/cm3) = 2.42
# - V (Å³ per cell) = 635.0
data_MgTeH12O9
_chemical_formula_sum 'Mg3 Te3 H36 O27'
_symmetry_space_group_name_H-M 'R 3'
_symmetry_Int_Tables_number 146
_symmetry_space_group_name_Hall 'R 3'
_cell_length_a 9.0651
_cell_length_b 9.0651
_cell_length_c 8.9221
_cell_angle_alpha 90.00
_cell_angle_beta 90.00
_cell_angle_gamma 120.00
loop_
_atom_site_label
_atom_site_type_symbol
_atom_site_fract_x
_atom_site_fract_y
_atom_site_fract_z
Mg1 Mg 0.0000 0.0000 0.0000
Te1 Te 0.0000 0.0000 0.4623
H1 H 0.0402 0.4693 0.8388
H2 H 0.0734 0.7156 0.5464
H3 H 0.1446 0.3669 0.8269
H4 H 0.1694 0.6851 0.4119
O1 O 0.0107 0.8168 0.8553
O2 O 0.1475 0.4751 0.8015
O3 O 0.1854 0.7229 0.2333

=====

So which one wins? Going from most stable to least: arrangement b, arrangement a.